(1)
First-principles (PBE-GGA) data for In3NiIr after structural relaxation, as listed in Alexandria via LeMat-Bulk.

The structure in CIF format:
```
data_In3NiIr
_space_group_name_H-M_alt 'P m -3 m'
_space_group_IT_number 221
_space_group_name_Hall '-P 4 2 3'
_cell_length_a 4.7797
_cell_length_b 4.7797
_cell_length_c 4.7797
_cell_angle_alpha 90.00
_cell_angle_beta 90.00
_cell_angle_gamma 90.00
loop_
_atom_site_label
_atom_site_type_symbol
_atom_site_fract_x
_atom_site_fract_y
_atom_site_fract_z
In1 In 0.0000 0.0000 0.5000
Ni1 Ni 0.0000 0.0000 0.0000
Ir1 Ir 0.5000 0.5000 0.5000
```

Results
- energy relative to the lowest polymorph listed for this composition (meV/atom) = 85.5
- E_form (eV per atom) = 0.570

***

(2)
First-principles (PBE-GGA) data for ReMo3 after structural relaxation, as listed in Alexandria via LeMat-Bulk.

The structure in CIF format:
```
data_ReMo3
_space_group_name_H-M_alt 'P m -3 m'
_space_group_IT_number 221
_space_group_name_Hall '-P 4 2 3'
_cell_length_a 4.7751
_cell_length_b 4.7751
_cell_length_c 4.7751
_cell_angle_alpha 90.00
_cell_angle_beta 90.00
_cell_angle_gamma 90.00
loop_
_atom_site_label
_atom_site_type_symbol
_atom_site_fract_x
_atom_site_fract_y
_atom_site_fract_z
Re1 Re 0.0000 0.0000 0.0000
Mo1 Mo 0.0000 0.0000 0.5000
```

Results
- E_form (eV per atom) = 2.505

***

(3)
First-principles (PBE-GGA) data for MnAg2Te after structural relaxation, as listed in Alexandria via LeMat-Bulk.

The structure in CIF format:
```
data_MnAg2Te
_space_group_name_H-M_alt 'C 1 2/m 1'
_space_group_IT_number 12
_space_group_name_Hall '-C 2y'
_cell_length_a 5.6222
_cell_length_b 10.6212
_cell_length_c 3.9627
_cell_angle_alpha 90.00
_cell_angle_beta 134.25
_cell_angle_gamma 90.00
loop_
_atom_site_label
_atom_site_type_symbol
_atom_site_fract_x
_atom_site_fract_y
_atom_site_fract_z
Mn1 Mn 0.0000 0.0000 0.0000
Ag1 Ag 0.2500 0.2500 0.0000
Te1 Te 0.0000 0.5000 0.0000
```

Results
- uncorrected formation energy (eV per atom) = 0.250

***

no.,uncorrected energy (eV per atom)
1,-4.002
2,-8.730
3,-4.254